{"formula": "Mg2Zr", "functional": "PBE-GGA", "state": "relaxed", "cell": [[-1.539, 2.442, 9.543], [1.539, -2.442, 9.543], [1.539, 2.442, -9.543]], "species": ["Mg", "Mg", "Mg", "Mg", "Zr", "Zr"], "fractional_positions": [[0.286, 0.036, 0.250], [0.436, 0.186, 0.250], [0.564, 0.814, 0.750], [0.714, 0.964, 0.750], [0.133, 0.383, 0.750], [0.867, 0.617, 0.250]], "magmom_total_mub_per_cell": 0.000, "delta_e_f_ev_per_atom": 0.29, "space_group": "Imma"}

***

{"formula": "MgZr2", "functional": "PBE-GGA", "state": "relaxed", "cell": [[-1.589, 2.143, 4.950], [1.589, -2.143, 4.950], [1.589, 2.143, -4.950]], "species": ["Mg", "Zr", "Zr"], "fractional_positions": [[0.000, 0.000, 0.000], [0.333, 0.333, 0.000], [0.667, 0.667, 0.000]], "magmom_total_mub_per_cell": 0.000, "delta_e_f_ev_per_atom": 0.05, "space_group": "Immm"}

***

{"formula": "MgZr", "functional": "PBE-GGA", "state": "relaxed", "cell": [[1.537, 0.887, 5.485], [-1.537, 0.887, 5.485], [0.000, -1.774, 5.485]], "species": ["Mg", "Zr"], "fractional_positions": [[0.000, 0.000, 0.000], [0.500, 0.500, 0.500]], "magmom_total_mub_per_cell": 0.000, "delta_e_f_ev_per_atom": 0.06, "space_group": "R-3m"}

***

{"formula": "MgZr3", "functional": "PBE-GGA", "state": "relaxed", "cell": [[7.869, 0.000, 0.000], [0.000, 3.249, 0.000], [-3.238, 0.000, 7.218]], "species": ["Mg", "Mg", "Zr", "Zr", "Zr", "Zr", "Zr", "Zr"], "fractional_positions": [[0.052, 0.250, 0.177], [0.948, 0.750, 0.823], [0.196, 0.750, 0.555], [0.320, 0.250, 0.925], [0.431, 0.750, 0.306], [0.569, 0.250, 0.694], [0.680, 0.750, 0.075], [0.804, 0.250, 0.445]], "magmom_total_mub_per_cell": 0.000, "delta_e_f_ev_per_atom": 0.05, "space_group": "P2_1/m"}

***

{"formula": "Mg3Zr13", "functional": "PBE-GGA", "state": "relaxed", "cell": [[6.346, 0.000, 0.000], [0.000, 5.197, 5.603], [0.000, -5.197, 5.603]], "species": ["Mg", "Mg", "Mg", "Zr", "Zr", "Zr", "Zr", "Zr", "Zr", "Zr", "Zr", "Zr", "Zr", "Zr", "Zr", "Zr"], "fractional_positions": [[0.000, 0.000, 0.000], [0.245, 0.234, 0.234], [0.755, 0.234, 0.234], [0.000, 0.079, 0.598], [0.000, 0.487, 0.487], [0.000, 0.598, 0.079], [0.250, 0.331, 0.820], [0.250, 0.820, 0.331], [0.254, 0.742, 0.742], [0.500, 0.083, 0.575], [0.500, 0.491, 0.491], [0.500, 0.575, 0.083], [0.500, 0.985, 0.985], [0.746, 0.742, 0.742], [0.750, 0.331, 0.820], [0.750, 0.820, 0.331]], "magmom_total_mub_per_cell": 0.000, "delta_e_f_ev_per_atom": 0.03, "space_group": "Amm2"}

***

{"formula": "MgZr", "functional": "PBE-GGA", "state": "relaxed", "cell": [[10.869, 0.000, 0.000], [0.000, 10.869, 0.000], [0.000, 0.000, 3.279]], "species": ["Mg", "Mg", "Mg", "Mg", "Mg", "Mg", "Mg", "Mg", "Zr", "Zr", "Zr", "Zr", "Zr", "Zr", "Zr", "Zr"], "fractional_positions": [[0.000, 0.316, 0.000], [0.000, 0.684, 0.000], [0.184, 0.184, 0.500], [0.184, 0.816, 0.500], [0.316, 0.000, 0.000], [0.684, 0.000, 0.000], [0.816, 0.184, 0.500], [0.816, 0.816, 0.500], [0.156, 0.500, 0.500], [0.358, 0.358, 0.000], [0.358, 0.642, 0.000], [0.500, 0.156, 0.500], [0.500, 0.844, 0.500], [0.642, 0.358, 0.000], [0.642, 0.642, 0.000], [0.844, 0.500, 0.500]], "magmom_total_mub_per_cell": 0.000, "delta_e_f_ev_per_atom": 0.15, "space_group": "P4/mmm"}

***

{"formula": "MgZr3", "functional": "PBE-GGA", "state": "relaxed", "cell": [[3.155, 0.000, 0.000], [0.000, 3.155, 0.000], [0.000, 0.000, 9.298]], "species": ["Mg", "Zr", "Zr", "Zr"], "fractional_positions": [[0.000, 0.000, 0.000], [0.000, 0.000, 0.500], [0.500, 0.500, 0.258], [0.500, 0.500, 0.742]], "magmom_total_mub_per_cell": 0.000, "delta_e_f_ev_per_atom": 0.01, "space_group": "P4/mmm"}

***

{"formula": "Mg7Zr", "functional": "PBE-GGA", "state": "relaxed", "cell": [[6.449, 0.000, 0.000], [-3.225, 5.585, 0.000], [0.000, 0.000, 5.045]], "species": ["Mg", "Mg", "Mg", "Mg", "Mg", "Mg", "Mg", "Zr"], "fractional_positions": [[0.000, 0.000, 0.000], [0.008, 0.504, 0.000], [0.338, 0.169, 0.500], [0.496, 0.504, 0.000], [0.496, 0.992, 0.000], [0.831, 0.169, 0.500], [0.831, 0.662, 0.500], [0.333, 0.667, 0.500]], "polymorph_energy_mev_per_atom": 45, "magmom_total_mub_per_cell": 0.210, "delta_e_f_ev_per_atom": 0.05, "space_group": "P-6m2"}

***

{"formula": "MgZr3", "functional": "PBE-GGA", "state": "relaxed", "cell": [[0.000, 3.545, 3.545], [3.545, 0.000, 3.545], [3.545, 3.545, 0.000]], "species": ["Mg", "Zr", "Zr", "Zr"], "fractional_positions": [[0.000, 0.000, 0.000], [0.250, 0.250, 0.250], [0.500, 0.500, 0.500], [0.750, 0.750, 0.750]], "magmom_total_mub_per_cell": 0.000, "delta_e_f_ev_per_atom": 0.12, "space_group": "Fm-3m"}

***

{"formula": "Mg2Zr", "functional": "PBE-GGA", "state": "relaxed", "cell": [[1.527, -8.363, 0.000], [1.527, 8.363, 0.000], [0.000, 0.000, 5.250]], "species": ["Mg", "Mg", "Mg", "Mg", "Zr", "Zr"], "fractional_positions": [[0.059, 0.941, 0.750], [0.276, 0.724, 0.250], [0.724, 0.276, 0.750], [0.941, 0.059, 0.250], [0.397, 0.603, 0.750], [0.603, 0.397, 0.250]], "magmom_total_mub_per_cell": 0.000, "delta_e_f_ev_per_atom": 0.13, "space_group": "Cmcm"}

***

{"formula": "MgZr2", "functional": "PBE-GGA", "state": "relaxed", "cell": [[-2.236, 2.236, 13.481], [2.236, -2.236, 13.481], [2.236, 2.236, -13.481]], "species": ["Mg", "Mg", "Mg", "Mg", "Zr", "Zr", "Zr", "Zr", "Zr", "Zr", "Zr", "Zr"], "fractional_positions": [[0.291, 0.541, 0.750], [0.459, 0.709, 0.750], [0.541, 0.291, 0.250], [0.709, 0.459, 0.250], [0.043, 0.793, 0.250], [0.123, 0.373, 0.750], [0.207, 0.957, 0.250], [0.373, 0.123, 0.250], [0.627, 0.877, 0.750], [0.793, 0.043, 0.750], [0.877, 0.627, 0.250], [0.957, 0.207, 0.750]], "magmom_total_mub_per_cell": 0.000, "delta_e_f_ev_per_atom": 0.05, "space_group": "I4_1/amd"}

***

{"formula": "MgZr5", "functional": "PBE-GGA", "state": "relaxed", "cell": [[5.236, 0.000, 0.000], [0.000, 1.587, 8.336], [0.000, -1.587, 8.336]], "species": ["Mg", "Zr", "Zr", "Zr", "Zr", "Zr"], "fractional_positions": [[0.000, 0.000, 0.000], [0.000, 0.336, 0.336], [0.000, 0.669, 0.669], [0.500, 0.223, 0.223], [0.500, 0.558, 0.558], [0.500, 0.888, 0.888]], "magmom_total_mub_per_cell": 0.000, "delta_e_f_ev_per_atom": 0.04, "space_group": "Amm2"}